(1)
{"formula": "TlCd2InCu", "functional": "PBE", "state": "optimized geometry", "cell": [[5.114, 0.000, 0.000], [0.000, 5.114, 0.000], [0.000, 0.000, 5.035]], "species": ["Tl", "Cd", "Cd", "In", "Cu"], "fractional_positions": [[0.000, 0.000, 0.000], [0.000, 0.500, 0.500], [0.500, 0.000, 0.500], [0.500, 0.500, 0.000], [0.500, 0.500, 0.500]], "energy_ev_per_atom": -2.085, "polymorph_energy_mev_per_atom": 0, "magmom_total_mub_per_fu": 0.00, "spacegroup": "P4/mmm, No. 123", "rho_g_cm3": 7.7, "dos_at_fermi_per_ev_fu": 1.756, "formation_enthalpy_0k_ev_per_fu": 0.61}

---

(2)
{"formula": "YCdInCu", "functional": "PBE", "state": "optimized geometry", "cell": [[0.000, 3.479, 3.479], [3.479, 0.000, 3.479], [3.479, 3.479, 0.000]], "species": ["Y", "Cd", "In", "Cu"], "fractional_positions": [[0.000, 0.000, 0.000], [0.750, 0.750, 0.750], [0.500, 0.500, 0.500], [0.250, 0.250, 0.250]], "energy_ev_per_atom": -3.791, "magmom_total_mub_per_fu": 0.00, "spacegroup": "F-43m, No. 216", "rho_g_cm3": 7.5, "dos_at_fermi_per_ev_fu": 1.987, "formation_enthalpy_0k_ev_per_fu": -0.95}

---

(3)
{"formula": "Zn2Cd2InCu5", "functional": "PBE", "state": "optimized geometry", "cell": [[8.948, 0.000, 0.000], [0.000, 8.948, 0.000], [0.000, 0.000, 3.945]], "species": ["Zn", "Zn", "Zn", "Zn", "Cd", "Cd", "Cd", "Cd", "In", "In", "Cu", "Cu", "Cu", "Cu", "Cu", "Cu", "Cu", "Cu", "Cu", "Cu"], "fractional_positions": [[0.116, 0.384, 0.000], [0.384, 0.884, 0.000], [0.616, 0.116, 0.000], [0.884, 0.616, 0.000], [0.179, 0.679, 0.000], [0.321, 0.179, 0.000], [0.679, 0.821, 0.000], [0.821, 0.321, 0.000], [0.000, 0.000, 0.000], [0.500, 0.500, 0.000], [0.000, 0.500, 0.500], [0.074, 0.207, 0.500], [0.207, 0.926, 0.500], [0.293, 0.426, 0.500], [0.426, 0.707, 0.500], [0.500, 0.000, 0.500], [0.574, 0.293, 0.500], [0.707, 0.574, 0.500], [0.793, 0.074, 0.500], [0.926, 0.793, 0.500]], "energy_ev_per_atom": -2.690, "magmom_total_mub_per_fu": 0.00, "spacegroup": "P4/mbm, No. 127", "rho_g_cm3": 8.3, "dos_at_fermi_per_ev_fu": 1.955, "formation_enthalpy_0k_ev_per_fu": 0.69}

---

(4)
{"formula": "Cd4CuIr", "functional": "PBE", "state": "optimized geometry", "cell": [[0.000, 3.872, 3.872], [3.872, 0.000, 3.872], [3.872, 3.872, 0.000]], "species": ["Cd", "Cd", "Cd", "Cd", "Cu", "Ir"], "fractional_positions": [[0.125, 0.125, 0.125], [0.125, 0.125, 0.625], [0.125, 0.625, 0.125], [0.625, 0.125, 0.125], [0.750, 0.750, 0.750], [0.500, 0.500, 0.500]], "energy_ev_per_atom": -2.261, "magmom_total_mub_per_fu": 0.00, "spacegroup": "F-43m, No. 216", "rho_g_cm3": 10.1, "dos_at_fermi_per_ev_fu": 3.796, "formation_enthalpy_0k_ev_per_fu": 3.05}

---

(5)
{"formula": "Cd2CuIr", "functional": "PBE", "state": "optimized geometry", "cell": [[4.642, -1.531, 0.000], [4.642, 1.531, 0.000], [-1.194, 0.000, 4.724]], "species": ["Cd", "Cd", "Cu", "Ir"], "fractional_positions": [[0.247, 0.247, 0.247], [0.753, 0.753, 0.753], [0.500, 0.500, 0.000], [0.000, 0.000, 0.500]], "energy_ev_per_atom": -3.481, "magmom_total_mub_per_fu": 0.00, "spacegroup": "C2/m, No. 12", "rho_g_cm3": 11.9, "dos_at_fermi_per_ev_fu": 1.959, "formation_enthalpy_0k_ev_per_fu": 0.87}

---

(6)
{"formula": "Cd2Cu2Ir", "functional": "PBE", "state": "optimized geometry", "cell": [[6.472, 0.000, 0.000], [0.000, 6.472, 0.000], [0.000, 0.000, 3.934]], "species": ["Cd", "Cd", "Cd", "Cd", "Cu", "Cu", "Cu", "Cu", "Ir", "Ir"], "fractional_positions": [[0.179, 0.321, 0.000], [0.321, 0.821, 0.000], [0.679, 0.179, 0.000], [0.821, 0.679, 0.000], [0.129, 0.629, 0.500], [0.371, 0.129, 0.500], [0.629, 0.871, 0.500], [0.871, 0.371, 0.500], [0.000, 0.000, 0.500], [0.500, 0.500, 0.500]], "energy_ev_per_atom": -3.543, "polymorph_energy_mev_per_atom": 0, "magmom_total_mub_per_fu": 0.00, "spacegroup": "P4/mbm, No. 127", "rho_g_cm3": 11.0, "dos_at_fermi_per_ev_fu": 2.531, "formation_enthalpy_0k_ev_per_fu": 1.17}

---

(7)
{"formula": "Cd2CuIr2", "functional": "PBE", "state": "optimized geometry", "cell": [[6.375, 0.000, 0.000], [0.000, 6.375, 0.000], [0.000, 0.000, 4.355]], "species": ["Cd", "Cd", "Cd", "Cd", "Cu", "Cu", "Ir", "Ir", "Ir", "Ir"], "fractional_positions": [[0.172, 0.328, 0.000], [0.328, 0.828, 0.000], [0.672, 0.172, 0.000], [0.828, 0.672, 0.000], [0.000, 0.000, 0.500], [0.500, 0.500, 0.500], [0.135, 0.635, 0.500], [0.365, 0.135, 0.500], [0.635, 0.865, 0.500], [0.865, 0.365, 0.500]], "energy_ev_per_atom": -4.530, "magmom_total_mub_per_fu": 0.00, "spacegroup": "P4/mbm, No. 127", "rho_g_cm3": 12.6, "dos_at_fermi_per_ev_fu": 2.500, "formation_enthalpy_0k_ev_per_fu": 1.00}

---

(8)
{"formula": "Cd2CuIr", "functional": "PBE", "state": "optimized geometry", "cell": [[1.455, 0.840, 9.137], [-1.455, 0.840, 9.137], [0.000, -1.680, 9.137]], "species": ["Cd", "Cd", "Cu", "Ir"], "fractional_positions": [[0.248, 0.248, 0.248], [0.752, 0.752, 0.752], [0.500, 0.500, 0.500], [0.000, 0.000, 0.000]], "energy_ev_per_atom": -3.509, "magmom_total_mub_per_fu": 0.29, "spacegroup": "R-3m, No. 166", "rho_g_cm3": 11.9, "dos_at_fermi_per_ev_fu": 2.949, "formation_enthalpy_0k_ev_per_fu": 0.75}